No. 1
## Nd2ZnF (PBE-GGA)

Data for Nd2ZnF after structural relaxation.

Output
ΔE_f (raw) in meV per atom: -1255
Volume in A^3/atom: 22.97
Total energy in eV per formula unit: -17.7
Offset from the most stable computed form in meV/atom: 0

Unit cell a=7.206 b=7.206 c=7.206 alpha=31.72 beta=31.72 gamma=31.72
Element x y z (fractional)
Nd 0.237 0.237 0.237
Nd 0.763 0.763 0.763
Zn 0.000 0.000 0.000
F 0.500 0.500 0.500

=====

No. 2
## La2SmTmAs4 (PBE-GGA)

Data for La2SmTmAs4 after structural relaxation.

Output
Volume in A^3/atom: 27.31
Total energy in eV per formula unit: -49.9
Formation energy in eV per atom: -1.532

Unit cell a=7.370 b=4.263 c=7.377 alpha=90.00 beta=109.48 gamma=90.00
Element x y z (fractional)
La 0.000 0.000 0.000
La 0.000 0.500 0.500
Sm 0.500 0.000 0.500
Tm 0.500 0.500 0.000
As 0.261 0.500 0.249
As 0.264 0.000 0.759
As 0.736 0.000 0.241
As 0.739 0.500 0.751